{
  "formula": "CrIn2Cl2F2",
  "functional": "PBE+U",
  "state": "optimized geometry",
  "cell": [[3.9269, 0.0734, -0.0285], [0.1361, 7.8215, -0.0258], [1.9625, 3.1585, 5.3212]],
  "species": ["Cr", "Cl", "In", "Cl", "F", "F", "In"],
  "frac_coords": [[0.0000, 0.0000, 0.0000], [0.4074, 0.7404, 0.1131], [0.1907, 0.7216, 0.6430], [0.5926, 0.2596, 0.8869], [0.8225, 0.9421, 0.3571], [0.1775, 0.0579, 0.6429], [0.8093, 0.2784, 0.3570]],
  "dos_ef_per_ev_fu": 0.00,
  "dft_energy_ev_per_atom": -4.460,
  "vol_a3_per_atom": 23.4
}